# 1
# Ac2Zn3SnGe4

A relaxed Ac2Zn3SnGe4 crystal (PBE, Alexandria via LeMat-Bulk).

Geometry as POSCAR:
```
Ac2Zn3SnGe4
1.0
-1.116 4.054 2.401
-2.785 1.423 -3.697
-7.705 -4.526 4.061
Sn Zn Ac Ge
1 3 2 4
Cartesian
-5.803 0.476 1.383 Sn
-2.280 0.190 -1.381 Zn
-3.853 -2.263 2.031 Zn
-7.376 -1.977 4.794 Zn
-7.263 -2.737 1.246 Ac
-2.392 0.950 2.167 Ac
-4.248 -0.966 -0.343 Ge
-5.407 -0.821 3.757 Ge
0.000 0.000 0.000 Ge
-1.950 2.739 -0.648 Ge
```

Output
The value obtained for the total magnetization is 0.0 μB/cell. The value obtained for the raw total energy is -3.805 eV per atom. As for the density of states at the Fermi level: 0.3548 states/eV/atom. As for the formation energy: -0.354 eV per atom.

---

# 2
# Ac2Zn4SnGe3

A relaxed Ac2Zn4SnGe3 crystal (PBE, Alexandria via LeMat-Bulk).

Geometry as POSCAR:
```
Ac2Zn4SnGe3
1.0
4.681 0.000 0.000
0.000 4.681 0.000
0.000 0.000 10.157
Sn Ge Zn Ac
1 3 4 2
Cartesian
2.341 2.341 5.079 Sn
0.000 2.341 1.255 Ge
0.000 0.000 5.079 Ge
2.341 0.000 8.902 Ge
0.000 0.000 0.000 Zn
2.341 2.341 0.000 Zn
0.000 2.341 3.735 Zn
2.341 0.000 6.422 Zn
0.000 2.341 7.689 Ac
2.341 0.000 2.468 Ac
```

Output
The value obtained for the total magnetization is 0.0 μB/cell. The value obtained for the raw total energy is -3.527 eV per atom. As for the density of states at the Fermi level: 0.2827 states/eV/atom. As for the formation energy: -0.410 eV per atom.

---

# 3
# SrAc5Ge4

A relaxed SrAc5Ge4 crystal (PBE, Alexandria via LeMat-Bulk).

Geometry as POSCAR:
```
SrAc5Ge4
1.0
5.476 0.000 0.000
0.000 7.150 -2.671
-2.738 -4.595 10.576
Ac Ge Sr
5 4 1
Cartesian
2.738 3.575 -1.335 Ac
2.738 1.838 5.385 Ac
0.000 0.716 2.521 Ac
0.000 4.514 1.279 Ac
2.738 -1.959 6.627 Ac
0.000 3.414 4.394 Ge
2.738 -0.859 3.512 Ge
0.000 1.871 -0.488 Ge
2.738 0.684 8.394 Ge
2.738 0.000 0.000 Sr
```

Output
The value obtained for the total magnetization is 0.0 μB/cell. The value obtained for the raw total energy is -4.596 eV per atom. As for the density of states at the Fermi level: 0.4861 states/eV/atom. As for the formation energy: -0.526 eV per atom.

---

# 4
# Sr2AcGe4

A relaxed Sr2AcGe4 crystal (PBE, Alexandria via LeMat-Bulk).

Geometry as POSCAR:
```
Sr2AcGe4
1.0
-1.844 -3.758 0.711
1.721 -1.619 -4.093
8.059 -0.371 6.263
Ge Ac Sr
4 1 2
Cartesian
2.259 -3.576 -0.364 Ge
5.998 -4.526 4.312 Ge
5.677 -2.171 3.245 Ge
1.937 -1.222 -1.431 Ge
-0.922 -1.879 0.356 Ac
5.017 -4.631 1.212 Sr
2.919 -1.116 1.669 Sr
```

Output
The value obtained for the total magnetization is 0.0 μB/cell. The value obtained for the raw total energy is -4.311 eV per atom. As for the density of states at the Fermi level: 0.4523 states/eV/atom. As for the formation energy: -0.605 eV per atom.

---

# 5
# SrAc2Ge

A relaxed SrAc2Ge crystal (PBE, Alexandria via LeMat-Bulk).

Geometry as POSCAR:
```
SrAc2Ge
1.0
-4.314 2.224 1.378
-0.945 -3.943 3.408
2.579 2.656 3.788
Ac Sr Ge
2 1 1
Cartesian
1.290 1.328 1.894 Ac
-0.472 -1.972 1.704 Ac
-1.340 0.469 4.287 Sr
-2.157 1.112 0.689 Ge
```

Output
The value obtained for the total magnetization is 0.0 μB/cell. The value obtained for the raw total energy is -3.745 eV per atom. As for the density of states at the Fermi level: 1.0570 states/eV/atom. As for the formation energy: -0.116 eV per atom. The value obtained for the distance to the lowest polymorph of the same formula is 211.7 meV/atom.

---

# 6
# SrAc12Ge6

A relaxed SrAc12Ge6 crystal (PBE, Alexandria via LeMat-Bulk).

Geometry as POSCAR:
```
SrAc12Ge6
1.0
-7.271 0.880 -5.905
-4.089 -2.029 8.226
2.973 8.851 1.152
Ac Sr Ge
12 1 6
Cartesian
-3.006 2.766 7.010 Ac
-5.381 4.936 -3.537 Ac
-1.558 7.911 -0.903 Ac
-8.016 0.876 -0.897 Ac
-0.370 6.826 4.370 Ac
-1.809 3.232 3.165 Ac
-5.715 3.682 4.137 Ac
-6.577 4.470 0.308 Ac
-3.802 6.630 2.220 Ac
-4.584 1.072 1.253 Ac
-2.671 4.020 -0.664 Ac
-6.828 -0.209 4.377 Ac
0.000 0.000 0.000 Sr
-0.749 5.798 1.362 Ge
-3.865 0.997 4.484 Ge
-7.638 1.904 2.111 Ge
-3.117 5.421 5.226 Ge
-5.269 2.281 -1.752 Ge
-4.521 6.705 -1.010 Ge
```

Output
The value obtained for the total magnetization is 0.0 μB/cell. The value obtained for the raw total energy is -4.514 eV per atom. As for the density of states at the Fermi level: 1.1903 states/eV/atom. As for the formation energy: -0.372 eV per atom.

---

# 7
# SrAcGe

A relaxed SrAcGe crystal (PBE, Alexandria via LeMat-Bulk).

Geometry as POSCAR:
```
SrAcGe
1.0
-3.008 4.608 -0.201
-1.400 -1.119 -4.698
-2.740 -1.619 3.893
Sr Ge Ac
1 1 1
Cartesian
-4.085 2.142 -1.984 Sr
-0.094 0.144 -0.006 Ge
-2.969 -0.417 0.984 Ac
```

Output
The value obtained for the total magnetization is 0.0 μB/cell. The value obtained for the raw total energy is -3.738 eV per atom. As for the density of states at the Fermi level: 0.9515 states/eV/atom. As for the formation energy: -0.269 eV per atom. The value obtained for the distance to the lowest polymorph of the same formula is 174.2 meV/atom.

---

# 8
# SrAc3Ge

A relaxed SrAc3Ge crystal (PBE, Alexandria via LeMat-Bulk).

Geometry as POSCAR:
```
SrAc3Ge
1.0
-4.398 0.716 4.302
-2.717 -5.229 -1.906
3.412 -3.241 4.027
Ac Ge Sr
3 1 1
Cartesian
1.706 -1.620 2.014 Ac
-2.199 0.358 2.151 Ac
-1.358 -2.615 -0.953 Ac
0.000 0.000 0.000 Ge
-1.851 -3.877 3.211 Sr
```

Output
The value obtained for the total magnetization is 0.0 μB/cell. The value obtained for the raw total energy is -3.837 eV per atom. As for the density of states at the Fermi level: 1.8467 states/eV/atom. As for the formation energy: -0.112 eV per atom. The value obtained for the distance to the lowest polymorph of the same formula is 81.9 meV/atom.